TlCrTc2 SCAN single point on PBEsol structure; SG = Cmmm, No. 65; calculated volume = 15.249 Å³/atom; energy relative to the elements = 661.8 meV/atom; offset from the most stable computed form = 108 meV per atom
1.0
-0.193 2.305 -1.836
1.314 -2.725 -3.561
-4.658 -0.110 0.352
Tc Cr Tl
2 1 1
Direct
0.000 0.500 0.000
0.000 0.000 0.500
0.500 0.500 0.500
0.500 0.000 0.000

Mg5Cu3 SCAN single point on PBEsol structure; SG = I4/mcm, No. 140; calculated volume = 16.688 Å³/atom; energy relative to the elements = -114.9 meV/atom; offset from the most stable computed form = 0 meV per atom
1.0
-1.017 3.187 -3.854
-7.148 2.685 0.728
1.974 7.136 2.002
Mg Cu
10 6
Direct
0.282 0.298 0.139
0.750 0.500 0.500
0.218 0.861 0.702
0.921 0.298 0.861
0.421 0.861 0.298
0.782 0.139 0.298
0.579 0.139 0.702
0.250 0.500 0.500
0.718 0.702 0.861
0.079 0.702 0.139
0.335 0.500 0.830
0.750 0.000 0.000
0.835 0.830 0.500
0.665 0.500 0.170
0.250 0.000 0.000
0.165 0.170 0.500

CoSiNi SCAN single point on PBEsol structure; SG = Pnma, No. 62; calculated volume = 10.424 Å³/atom; formation energy from raw total energies = -0.35 eV/atom
1.0
-2.292 -1.026 -0.446
1.821 -1.677 -5.497
2.589 -7.096 3.022
Si Co Ni
4 4 4
Direct
0.750 0.869 0.212
0.750 0.369 0.288
0.250 0.131 0.788
0.250 0.631 0.712
0.750 0.921 0.613
0.250 0.579 0.113
0.750 0.421 0.887
0.250 0.079 0.387
0.750 0.340 0.579
0.750 0.840 0.921
0.250 0.660 0.421
0.250 0.160 0.079

Tb4ZrAl15 SCAN single point on PBEsol structure; SG = R-3m, No. 166; calculated volume = 18.457 Å³/atom; energy relative to the elements = -449.3 meV/atom
1.0
5.979 0.000 0.000
2.990 5.178 0.000
2.990 1.726 11.923
Al Tb Zr
15 4 1
Direct
0.635 0.130 0.600
0.423 0.886 0.806
0.500 0.000 0.000
0.886 0.886 0.806
0.130 0.635 0.600
0.500 0.500 0.000
0.577 0.114 0.194
0.114 0.114 0.194
0.365 0.870 0.400
0.365 0.365 0.400
0.114 0.577 0.194
0.886 0.423 0.806
0.000 0.500 0.000
0.870 0.365 0.400
0.635 0.635 0.600
0.132 0.132 0.605
0.868 0.868 0.395
0.600 0.600 0.199
0.400 0.400 0.801
0.000 0.000 0.000

PbIO2 SCAN single point on PBEsol structure; SG = Fm-3m, No. 225; calculated volume = 16.398 Å³/atom; offset from the most stable computed form = 822 meV per atom; formation energy from raw total energies = 0.29 eV/atom
1.0
-3.748 0.640 -2.457
-2.550 -3.541 -1.202
-4.072 -0.600 1.884
Pb O I
1 2 1
Direct
0.500 0.500 0.500
0.250 0.250 0.250
0.750 0.750 0.750
0.000 0.000 0.000

Y2MgSi SCAN single point on PBEsol structure; SG = I-42d, No. 122; calculated volume = 26.165 Å³/atom; formation energy from raw total energies = -0.04 eV/atom
1.0
6.543 -0.043 0.000
-3.301 5.649 0.000
-1.621 -2.803 5.685
Si Y Mg
2 4 2
Direct
0.000 0.000 0.000
0.250 0.750 0.500
0.625 0.087 0.962
0.337 0.375 0.462
0.125 0.663 0.038
0.913 0.875 0.538
0.500 0.500 0.000
0.750 0.250 0.500

MgBeFe2 SCAN single point on PBEsol structure; SG = P4mm, No. 99; calculated volume = 11.166 Å³/atom; energy relative to the elements = 307.5 meV/atom; offset from the most stable computed form = 137 meV per atom
1.0
-1.677 0.313 2.093
-2.115 -0.325 -1.646
0.139 -6.040 1.014
Fe Mg Be
2 1 1
Direct
0.000 0.000 0.987
0.500 0.500 0.206
0.000 0.000 0.502
0.500 0.500 0.804

LiY2Cd SCAN single point on PBEsol structure; SG = Fm-3m, No. 225; calculated volume = 24.768 Å³/atom; energy relative to the elements = -233.4 meV/atom; offset from the most stable computed form = 0 meV per atom
1.0
-1.485 2.942 4.012
-3.271 -3.506 -1.999
-1.186 -4.275 2.696
Cd Li Y
1 1 2
Direct
0.500 0.000 0.500
0.000 0.000 0.000
0.750 0.500 0.750
0.250 0.500 0.250

SrAgSbTe2 SCAN single point on PBEsol structure; SG = P4/mmm, No. 123; calculated volume = 41.867 Å³/atom; formation energy from raw total energies = 0.65 eV/atom
1.0
-5.883 0.511 -0.354
0.013 -3.278 -4.964
-0.625 -4.938 3.258
Te Sb Sr Ag
2 1 1 1
Direct
0.000 0.000 0.500
0.000 0.500 0.000
0.500 0.000 0.000
0.000 0.000 0.000
0.500 0.500 0.500

Tl2ReTc SCAN single point on PBEsol structure; SG = Fm-3m, No. 225; calculated volume = 17.586 Å³/atom; energy relative to the elements = 1224.2 meV/atom; offset from the most stable computed form = 120 meV per atom
1.0
-3.999 -2.221 0.729
0.260 -1.858 -4.235
3.514 -0.520 2.977
Tl Re Tc
2 1 1
Direct
0.250 0.750 0.500
0.750 0.250 0.500
0.500 0.500 0.000
0.000 0.000 0.000

In7Sb SCAN single point on PBEsol structure; SG = Fm-3m, No. 225; calculated volume = 25.650 Å³/atom; formation energy from raw total energies = 0.08 eV/atom
1.0
6.621 0.000 0.000
3.310 5.734 0.000
3.310 1.911 5.406
In Sb
7 1
Direct
0.500 0.500 0.000
0.500 0.000 0.500
0.500 0.500 0.500
0.000 0.500 0.000
0.000 0.500 0.500
0.000 0.000 0.500
0.500 0.000 0.000
0.000 0.000 0.000

Sb2RhCl SCAN single point on PBEsol structure; SG = P4/mmm, No. 123; calculated volume = 20.519 Å³/atom; formation energy from raw total energies = 0.45 eV/atom
1.0
4.153 0.000 0.000
0.000 4.153 0.000
0.000 0.000 4.759
Cl Sb Rh
1 2 1
Direct
0.500 0.500 0.500
0.500 0.000 0.000
0.000 0.500 0.000
0.000 0.000 0.500

TiTePdI2 SCAN single point on PBEsol structure; SG = P4/mmm, No. 123; calculated volume = 29.530 Å³/atom; offset from the most stable computed form = 9 meV per atom; formation energy from raw total energies = 0.25 eV/atom
1.0
5.249 0.000 0.000
0.000 5.249 0.000
0.000 0.000 5.359
Te Pd Ti I
1 1 1 2
Direct
0.000 0.000 0.500
0.000 0.000 0.000
0.500 0.500 0.500
0.500 0.000 0.000
0.000 0.500 0.000

LiTcBr SCAN single point on PBEsol structure; SG = P-6m2, No. 187; calculated volume = 15.845 Å³/atom; offset from the most stable computed form = 0 meV per atom; formation energy from raw total energies = 0.56 eV/atom
1.0
2.998 0.000 0.000
0.000 4.279 0.000
0.000 -2.139 3.706
Br Tc Li
1 1 1
Direct
0.500 0.000 0.000
0.500 0.667 0.333
0.000 0.333 0.667

Li2HfMn SCAN single point on PBEsol structure; SG = Fm-3m, No. 225; calculated volume = 14.823 Å³/atom; energy relative to the elements = 372.4 meV/atom
1.0
4.377 0.000 0.000
2.188 3.791 0.000
2.188 1.264 3.574
Li Hf Mn
2 1 1
Direct
0.250 0.250 0.250
0.750 0.750 0.750
0.500 0.500 0.500
0.000 0.000 0.000

Sr2YSb SCAN single point on PBEsol structure; SG = P4/mmm, No. 123; calculated volume = 31.825 Å³/atom; formation energy from raw total energies = -0.37 eV/atom
1.0
-0.788 -2.521 4.164
4.752 0.516 1.212
-1.120 4.465 2.492
Sr Sb Y
2 1 1
Direct
0.500 0.000 0.000
0.000 0.500 0.000
0.000 0.000 0.500
0.500 0.500 0.500

Zr2AlZn SCAN single point on PBEsol structure; SG = Amm2, No. 38; calculated volume = 18.753 Å³/atom; energy relative to the elements = -408.3 meV/atom
1.0
-2.791 1.239 -1.361
-2.223 -2.957 1.867
0.727 2.599 4.982
Zn Al Zr
1 1 2
Direct
0.685 0.500 0.370
0.822 0.000 0.644
0.419 0.500 0.839
0.091 0.000 0.183

Mg30AlVO32 SCAN single point on PBEsol structure; SG = P4/mmm, No. 123; calculated volume = 9.478 Å³/atom; formation energy from raw total energies = -2.94 eV/atom
1.0
8.465 0.000 0.000
0.000 8.465 0.000
0.000 0.000 8.465
Mg O Al V
30 32 1 1
Direct
0.251 0.749 0.000
0.000 0.500 0.500
0.500 0.250 0.250
0.251 0.251 0.000
0.000 0.251 0.251
0.750 0.500 0.250
0.250 0.500 0.750
0.250 0.750 0.500
0.500 0.250 0.750
0.000 0.500 0.000
0.500 0.750 0.750
0.749 0.749 0.000
0.749 0.000 0.251
0.251 0.000 0.749
0.749 0.000 0.749
0.000 0.251 0.749
0.500 0.750 0.250
0.251 0.000 0.251
0.750 0.750 0.500
0.750 0.500 0.750
0.749 0.251 0.000
0.000 0.000 0.500
0.500 0.000 0.500
0.000 0.749 0.749
0.250 0.500 0.250
0.250 0.250 0.500
0.500 0.000 0.000
0.000 0.749 0.251
0.500 0.500 0.500
0.750 0.250 0.500
0.250 0.250 0.249
0.750 0.250 0.249
0.235 0.000 0.000
0.765 0.000 0.000
0.250 0.750 0.249
0.752 0.000 0.500
0.250 0.750 0.751
0.750 0.750 0.751
0.000 0.765 0.000
0.750 0.250 0.751
0.500 0.000 0.248
0.250 0.250 0.751
0.500 0.249 0.500
0.000 0.752 0.500
0.000 0.500 0.248
0.000 0.500 0.752
0.500 0.751 0.500
0.000 0.248 0.500
0.500 0.246 0.000
0.000 0.235 0.000
0.000 0.000 0.235
0.246 0.500 0.000
0.500 0.754 0.000
0.248 0.000 0.500
0.754 0.500 0.000
0.500 0.500 0.748
0.500 0.000 0.752
0.000 0.000 0.765
0.750 0.750 0.249
0.500 0.500 0.252
0.751 0.500 0.500
0.249 0.500 0.500
0.000 0.000 0.000
0.500 0.500 0.000

K3TcTe SCAN single point on PBEsol structure; SG = Pm-3m, No. 221; calculated volume = 44.295 Å³/atom; formation energy from raw total energies = 0.75 eV/atom
1.0
-3.207 -3.796 3.451
4.623 -0.374 3.885
-2.224 4.697 3.099
K Tc Te
3 1 1
Direct
0.500 0.000 0.000
0.000 0.500 0.000
0.000 0.000 0.500
0.000 0.000 0.000
0.500 0.500 0.500

LaYSc2 SCAN single point on PBEsol structure; SG = Cmmm, No. 65; calculated volume = 27.443 Å³/atom; energy relative to the elements = 72.2 meV/atom; offset from the most stable computed form = 3 meV per atom
1.0
-0.195 1.300 3.225
-3.180 -4.469 1.608
5.410 -1.576 0.962
Sc Y La
2 1 1
Direct
0.000 0.000 0.500
0.000 0.500 0.000
0.500 0.500 0.500
0.500 0.000 0.000

| no. | M_tot (μB/atom) | total energy (eV per atom) | Fermi-level density of states (states/eV/f.u.) |
| --- | --- | --- | --- |
| 1 | 0.12 | -39.554 | 3.5 |
| 2 | 0.00 | -8.923 | 1.9 |
| 3 | 0.00 | -14.846 | 2.3 |
| 4 | 0.01 | -17.151 | 5.2 |
| 5 | 0.66 | -30.955 | 2.3 |
| 6 | 0.00 | -17.708 | 3.0 |
| 7 | 0.00 | -11.089 | 1.7 |
| 8 | 0.00 | -22.356 | 4.0 |
| 9 | 0.00 | -32.432 | 5.3 |
| 10 | 0.64 | -61.494 | 2.5 |
| 11 | 0.00 | -33.793 | 3.0 |
| 12 | 0.00 | -28.613 | 2.7 |
| 13 | 0.40 | -31.662 | 1.3 |
| 14 | 0.52 | -18.409 | 1.7 |
| 15 | 0.82 | -21.055 | 4.0 |
| 16 | 0.41 | -27.786 | 2.7 |
| 17 | 0.06 | -21.074 | 4.6 |
| 18 | 0.05 | -8.781 | 2.4 |
| 19 | 0.80 | -18.711 | 8.6 |
| 20 | 0.01 | -24.783 | 5.0 |